This record from Alexandria via LeMat-Bulk describes a geometry-optimized Cu5Bi3I12 structure. The functional is PBE.

As for the magnetic moment: 0.00 Bohr magnetons per cell. The uncorrected formation energy comes out at -0.0966 eV/atom. For the density of states at the Fermi level, the calculation gives 7.67 states/eV per cell. As for the space group: Ia-3d (230).

Cell and atoms, written as POSCAR:
```
Cu5Bi3I12
1.0
15.254 0.000 0.000
-5.085 14.382 0.000
-5.085 -7.191 12.455
Cu I Bi
20 48 12
Cartesian
-1.271 3.595 3.114 Cu
3.814 10.786 3.114 Cu
3.814 2.697 1.557 Cu
5.085 -3.595 6.228 Cu
-5.085 3.595 6.228 Cu
-2.542 7.191 0.000 Cu
8.898 -0.899 7.784 Cu
5.085 7.191 0.000 Cu
6.356 3.595 9.341 Cu
-1.271 11.685 1.557 Cu
0.000 0.000 0.000 Cu
1.271 4.494 10.898 Cu
6.356 -4.494 10.898 Cu
2.542 3.595 6.228 Cu
6.356 6.292 4.671 Cu
-1.271 0.899 7.784 Cu
7.627 0.000 0.000 Cu
-2.542 -3.595 6.228 Cu
1.271 -3.595 9.341 Cu
-3.814 8.090 4.671 Cu
9.925 1.673 0.307 I
6.389 -1.220 7.138 I
3.354 1.968 4.022 I
2.787 -2.493 7.524 I
-2.787 -5.518 12.149 I
9.358 0.871 5.921 I
0.812 9.159 8.433 I
-5.822 -0.223 10.249 I
8.439 -1.097 2.513 I
-1.304 8.411 5.318 I
10.907 7.414 2.206 I
5.822 1.799 11.159 I
-1.238 5.215 10.853 I
-4.273 6.320 6.534 I
3.280 8.990 1.296 I
11.474 3.196 3.715 I
1.238 1.220 7.138 I
4.840 2.493 7.524 I
-4.840 5.518 12.149 I
-1.238 -3.995 8.740 I
1.805 2.022 11.545 I
1.805 -1.799 11.159 I
6.890 6.968 2.206 I
-6.389 3.995 8.740 I
-0.812 1.097 2.513 I
5.822 -2.022 11.545 I
-0.737 5.392 1.296 I
4.273 -1.968 4.022 I
3.847 5.971 5.318 I
7.872 4.167 4.625 I
5.897 6.094 9.943 I
6.323 1.976 1.603 I
-3.780 12.406 1.603 I
0.245 4.698 4.932 I
6.323 11.186 3.715 I
-3.354 8.288 9.943 I
-0.737 9.213 0.910 I
10.414 -3.024 7.830 I
-1.731 -0.871 5.921 I
3.280 5.169 0.910 I
1.731 5.223 8.433 I
-1.805 0.223 10.249 I
6.815 8.062 6.534 I
-5.329 10.215 4.625 I
8.865 -5.215 10.853 I
7.872 12.709 0.307 I
2.298 9.684 4.932 I
-2.787 3.024 7.830 I
1.271 -0.899 4.671 Bi
3.814 0.000 9.341 Bi
6.356 0.899 4.671 Bi
-3.814 -2.697 10.898 Bi
-3.814 2.697 10.898 Bi
11.441 0.000 3.114 Bi
3.814 8.090 7.784 Bi
8.898 4.494 1.557 Bi
8.898 9.888 1.557 Bi
-6.356 7.191 9.341 Bi
-1.271 6.292 7.784 Bi
1.271 7.191 3.114 Bi
```